[1]
DFT (PBE) results for a relaxed Ta2AuSe crystal.

```
data_Ta2AuSe
_chemical_formula_sum 'Ta2 Au1 Se1'
_cell_length_a 3.0642
_cell_length_b 3.0642
_cell_length_c 8.1572
_cell_angle_alpha 90.00
_cell_angle_beta 90.00
_cell_angle_gamma 90.00
_space_group_name_H-M_alt 'P 1'
_space_group_IT_number 1
_space_group_name_Hall 'P 1'
loop_
_atom_site_label
_atom_site_type_symbol
_atom_site_fract_x
_atom_site_fract_y
_atom_site_fract_z
Ta1 Ta 0.0000 0.0000 0.0000
Ta2 Ta 0.5000 0.5000 0.2642
Au1 Au 0.0000 0.0000 0.4962
Se1 Se 0.5000 0.5000 0.8118
```

Volume, Å³ per atom: 19.1
Formation energy without anion corrections, kJ/mol of atoms: -10


[2]
DFT (PBE) results for a relaxed KCa2Mg crystal.

```
data_KCa2Mg
_chemical_formula_sum 'K1 Ca2 Mg1'
_cell_length_a 7.5178
_cell_length_b 7.5178
_cell_length_c 7.5178
_cell_angle_alpha 149.06
_cell_angle_beta 128.46
_cell_angle_gamma 61.34
_space_group_name_H-M_alt 'P 1'
_space_group_IT_number 1
_space_group_name_Hall 'P 1'
loop_
_atom_site_label
_atom_site_type_symbol
_atom_site_fract_x
_atom_site_fract_y
_atom_site_fract_z
K1 K 0.0000 0.0000 0.0000
Ca1 Ca 0.2828 0.7828 0.5000
Ca2 Ca 0.7172 0.2172 0.5000
Mg1 Mg 0.5000 0.5000 0.0000
```

Volume, Å³ per atom: 42.4
Calculated formation energy, eV/atom: 0.138


[3]
DFT (PBE) results for a relaxed Ac6In3Sn crystal.

```
data_Ac6In3Sn
_chemical_formula_sum 'Ac12 In6 Sn2'
_cell_length_a 8.6161
_cell_length_b 8.9421
_cell_length_c 13.2678
_cell_angle_alpha 90.00
_cell_angle_beta 128.06
_cell_angle_gamma 90.00
_space_group_name_H-M_alt 'P 1'
_space_group_IT_number 1
_space_group_name_Hall 'P 1'
loop_
_atom_site_label
_atom_site_type_symbol
_atom_site_fract_x
_atom_site_fract_y
_atom_site_fract_z
Ac1 Ac 0.0204 0.0882 0.2517
Ac2 Ac 0.0204 0.4118 0.7517
Ac3 Ac 0.2219 0.6713 0.0658
Ac4 Ac 0.2219 0.8287 0.5658
Ac5 Ac 0.4022 0.1631 0.0675
Ac6 Ac 0.4022 0.3369 0.5675
Ac7 Ac 0.5978 0.6631 0.4325
Ac8 Ac 0.5978 0.8369 0.9325
Ac9 Ac 0.7781 0.1713 0.4342
Ac10 Ac 0.7781 0.3287 0.9342
Ac11 Ac 0.9796 0.5882 0.2483
Ac12 Ac 0.9796 0.9118 0.7483
In1 In 0.3056 0.1421 0.7536
In2 In 0.3056 0.3579 0.2536
In3 In 0.5000 0.0000 0.5000
In4 In 0.5000 0.5000 0.0000
In5 In 0.6944 0.6421 0.7464
In6 In 0.6944 0.8579 0.2464
Sn1 Sn 0.0000 0.0000 0.0000
Sn2 Sn 0.0000 0.5000 0.5000
```

Volume, Å³ per atom: 40.2
Calculated formation energy, eV/atom: -0.255


[4]
DFT (PBE) results for a relaxed Dy12ZrIn3 crystal.

```
data_Dy12ZrIn3
_chemical_formula_sum 'Dy12 Zr1 In3'
_cell_length_a 4.8315
_cell_length_b 4.8315
_cell_length_c 19.5812
_cell_angle_alpha 90.00
_cell_angle_beta 90.00
_cell_angle_gamma 90.00
_space_group_name_H-M_alt 'P 1'
_space_group_IT_number 1
_space_group_name_Hall 'P 1'
loop_
_atom_site_label
_atom_site_type_symbol
_atom_site_fract_x
_atom_site_fract_y
_atom_site_fract_z
Dy1 Dy 0.0000 0.0000 0.0000
Dy2 Dy 0.0000 0.0000 0.2483
Dy3 Dy 0.0000 0.0000 0.5000
Dy4 Dy 0.0000 0.0000 0.7517
Dy5 Dy 0.0000 0.5000 0.1246
Dy6 Dy 0.0000 0.5000 0.3758
Dy7 Dy 0.0000 0.5000 0.6242
Dy8 Dy 0.0000 0.5000 0.8754
Dy9 Dy 0.5000 0.0000 0.1246
Dy10 Dy 0.5000 0.0000 0.3758
Dy11 Dy 0.5000 0.0000 0.6242
Dy12 Dy 0.5000 0.0000 0.8754
Zr1 Zr 0.5000 0.5000 0.5000
In1 In 0.5000 0.5000 0.0000
In2 In 0.5000 0.5000 0.2467
In3 In 0.5000 0.5000 0.7533
```

Volume, Å³ per atom: 28.6
Calculated formation energy, eV/atom: -0.184


[5]
DFT (PBE) results for a relaxed Ca4La crystal.

```
data_Ca4La
_chemical_formula_sum 'Ca4 La1'
_cell_length_a 16.1584
_cell_length_b 16.1584
_cell_length_c 16.1584
_cell_angle_alpha 13.61
_cell_angle_beta 13.61
_cell_angle_gamma 13.61
_space_group_name_H-M_alt 'P 1'
_space_group_IT_number 1
_space_group_name_Hall 'P 1'
loop_
_atom_site_label
_atom_site_type_symbol
_atom_site_fract_x
_atom_site_fract_y
_atom_site_fract_z
Ca1 Ca 0.1007 0.1007 0.1007
Ca2 Ca 0.2998 0.2998 0.2998
Ca3 Ca 0.7002 0.7002 0.7002
Ca4 Ca 0.8993 0.8993 0.8993
La1 La 0.5000 0.5000 0.5000
```

Energy above the lowest structure with this stoichiometry, meV/atom: 0
Volume, Å³ per atom: 40.7
Calculated formation energy, eV/atom: 0.032


[6]
DFT (PBE) results for a relaxed HfMnCuNi2 crystal.

```
data_HfMnCuNi2
_chemical_formula_sum 'Hf1 Mn1 Cu1 Ni2'
_cell_length_a 4.5291
_cell_length_b 4.5291
_cell_length_c 4.7135
_cell_angle_alpha 90.00
_cell_angle_beta 90.00
_cell_angle_gamma 90.00
_space_group_name_H-M_alt 'P 1'
_space_group_IT_number 1
_space_group_name_Hall 'P 1'
loop_
_atom_site_label
_atom_site_type_symbol
_atom_site_fract_x
_atom_site_fract_y
_atom_site_fract_z
Hf1 Hf 0.0000 0.0000 0.0000
Mn1 Mn 0.0000 0.0000 0.5000
Cu1 Cu 0.5000 0.5000 0.5000
Ni1 Ni 0.0000 0.5000 0.0000
Ni2 Ni 0.5000 0.0000 0.0000
```

Volume, Å³ per atom: 19.3
Calculated formation energy, eV/atom: 1.380


[7]
DFT (PBE) results for a relaxed Na6BrO2 crystal.

```
data_Na6BrO2
_chemical_formula_sum 'Na6 Br1 O2'
_cell_length_a 7.2350
_cell_length_b 7.2350
_cell_length_c 8.6315
_cell_angle_alpha 102.10
_cell_angle_beta 102.10
_cell_angle_gamma 35.39
_space_group_name_H-M_alt 'P 1'
_space_group_IT_number 1
_space_group_name_Hall 'P 1'
loop_
_atom_site_label
_atom_site_type_symbol
_atom_site_fract_x
_atom_site_fract_y
_atom_site_fract_z
Na1 Na 0.0803 0.0803 0.1988
Na2 Na 0.2693 0.2693 0.9137
Na3 Na 0.3580 0.3580 0.3577
Na4 Na 0.6420 0.6420 0.6423
Na5 Na 0.7307 0.7307 0.0863
Na6 Na 0.9197 0.9197 0.8012
Br1 Br 0.0000 0.0000 0.5000
O1 O 0.2303 0.2303 0.1638
O2 O 0.7697 0.7697 0.8362
```

Volume, Å³ per atom: 28.4
Formation energy without anion corrections, kJ/mol of atoms: -98


[8]
DFT (PBE) results for a relaxed GdDyHoEr crystal.

```
data_GdDyHoEr
_chemical_formula_sum 'Gd1 Dy1 Ho1 Er1'
_cell_length_a 5.6419
_cell_length_b 5.6419
_cell_length_c 5.6419
_cell_angle_alpha 60.00
_cell_angle_beta 60.00
_cell_angle_gamma 60.00
_space_group_name_H-M_alt 'P 1'
_space_group_IT_number 1
_space_group_name_Hall 'P 1'
loop_
_atom_site_label
_atom_site_type_symbol
_atom_site_fract_x
_atom_site_fract_y
_atom_site_fract_z
Gd1 Gd 0.0000 0.0000 0.0000
Dy1 Dy 0.5000 0.5000 0.5000
Ho1 Ho 0.2500 0.2500 0.2500
Er1 Er 0.7500 0.7500 0.7500
```

Volume, Å³ per atom: 31.7
Calculated formation energy, eV/atom: 0.121


Question: volume of number 4 (Dy12ZrIn3)?
Answer: 28.6 Å³ per atom


Question: Which of these has the lowest volume?
Answer: Ta2AuSe


Question: The highest volume belongs to which entry?
Answer: KCa2Mg


Question: The highest volume belongs to which entry?
Answer: KCa2Mg